The following is a DFT calculation (PBE) of crystalline Y3HfIn at its relaxed geometry.

Cell and atoms, written as POSCAR:
```
Y3HfIn
1.0
5.5328 0.0000 0.0000
0.0000 5.5328 0.0000
0.0000 0.0000 5.5328
Y Hf In
3 1 1
Cartesian
0.0000 0.0000 2.7664 Y
0.0000 2.7664 0.0000 Y
2.7664 0.0000 0.0000 Y
0.0000 0.0000 0.0000 Hf
2.7664 2.7664 2.7664 In
```

energy of formation from the pure elements	296	kJ/mol of formula units
mass density	5.49	g/cm3
total magnetic moment	0.00	μB per formula unit
E above lowest polymorph	0	meV per atom

---

The following is a DFT calculation (PBE) of crystalline CeCd2Ag4 at its relaxed geometry.

Cell and atoms, written as POSCAR:
```
CeCd2Ag4
1.0
-3.6263 3.6263 2.8143
3.6263 -3.6263 2.8143
3.6263 3.6263 -2.8143
Ce Cd Ag
1 2 4
Cartesian
0.0000 0.0000 0.0000 Ce
3.6263 0.0000 1.4071 Cd
0.0000 3.6263 1.4071 Cd
2.2255 2.2255 0.0000 Ag
1.4008 -1.4008 2.8143 Ag
-1.4008 1.4008 2.8143 Ag
1.4008 1.4008 2.8143 Ag
```

energy of formation from the pure elements	-97	kJ/mol of formula units
mass density	8.93	g/cm3
total magnetic moment	1.13	μB per formula unit
E above lowest polymorph	0	meV per atom

---

The following is a DFT calculation (PBE) of crystalline Er6Mn2Pb at its relaxed geometry.

Cell and atoms, written as POSCAR:
```
Er6Mn2Pb
1.0
-4.7794 4.8216 4.9518
4.7794 -4.8216 4.9518
4.7794 4.8216 -4.9518
Er Mn Pb
12 4 2
Cartesian
4.7794 2.6668 -2.6553 Er
2.7452 1.8255 0.0000 Er
6.8137 1.8255 0.0000 Er
1.9636 4.8216 -1.8566 Er
2.8158 0.0000 3.0952 Er
0.0000 2.1549 2.2964 Er
4.7794 2.6668 2.6553 Er
1.9636 4.8216 1.8566 Er
2.8158 0.0000 6.8083 Er
-2.0343 2.9962 4.9518 Er
2.0343 2.9962 4.9518 Er
0.0000 2.1549 7.6071 Er
4.7794 0.0000 1.0478 Mn
0.0000 3.7452 0.0000 Mn
0.0000 5.8981 0.0000 Mn
0.0000 4.8216 3.9040 Mn
0.0000 0.0000 0.0000 Pb
0.0000 0.0000 4.9518 Pb
```

energy of formation from the pure elements	-103	kJ/mol of formula units
mass density	9.61	g/cm3
total magnetic moment	1.99	μB per formula unit

---

The following is a DFT calculation (PBE) of crystalline InCo2IrC at its relaxed geometry.

Cell and atoms, written as POSCAR:
```
InCo2IrC
1.0
3.7647 0.0000 0.0000
0.0000 3.7647 0.0000
0.0000 0.0000 4.6143
In Co Ir C
1 2 1 1
Cartesian
0.0000 0.0000 0.0000 In
0.0000 1.8824 2.3072 Co
1.8824 0.0000 2.3072 Co
1.8824 1.8824 0.0000 Ir
0.0000 0.0000 2.3072 C
```

energy of formation from the pure elements	242	kJ/mol of formula units
mass density	11.09	g/cm3
total magnetic moment	1.93	μB per formula unit
E above lowest polymorph	411	meV per atom

---

The following is a DFT calculation (PBE) of crystalline VCrCd2Sn at its relaxed geometry.

Cell and atoms, written as POSCAR:
```
VCrCd2Sn
1.0
5.1231 0.0000 0.0000
0.0000 5.1231 0.0000
0.0000 0.0000 5.0254
V Cr Cd Sn
1 1 2 1
Cartesian
0.0000 0.0000 0.0000 V
2.5615 2.5615 2.5127 Cr
0.0000 2.5615 2.5127 Cd
2.5615 0.0000 2.5127 Cd
2.5615 2.5615 0.0000 Sn
```

energy of formation from the pure elements	485	kJ/mol of formula units
mass density	5.62	g/cm3
total magnetic moment	6.69	μB per formula unit

---

The following is a DFT calculation (PBE) of crystalline RbTlSe2 at its relaxed geometry.

Cell and atoms, written as POSCAR:
```
RbTlSe2
1.0
5.8203 0.0000 0.0000
0.0000 5.3337 0.0000
-0.3751 0.0000 9.4299
Rb Tl Se
2 2 4
Cartesian
0.0000 0.0000 0.0000 Rb
2.7706 0.0000 3.2400 Rb
-0.0046 2.6669 4.6029 Tl
2.7496 2.6669 7.7135 Tl
1.4053 0.0000 6.4743 Se
1.9512 2.6669 1.2087 Se
4.3428 2.6669 1.7215 Se
4.8332 0.0000 6.0247 Se
```

mass density	5.08	g/cm3
total magnetic moment	0.00	μB per formula unit
E above lowest polymorph	56	meV per atom

---

The following is a DFT calculation (PBE) of crystalline TcSbMo2Ru at its relaxed geometry.

Cell and atoms, written as POSCAR:
```
TcSbMo2Ru
1.0
4.8143 0.0000 0.0000
0.0000 4.8143 0.0000
0.0000 0.0000 4.6336
Tc Sb Mo Ru
1 1 2 1
Cartesian
0.0000 0.0000 0.0000 Tc
2.4072 2.4072 2.3168 Sb
0.0000 2.4072 2.3168 Mo
2.4072 0.0000 2.3168 Mo
2.4072 2.4072 0.0000 Ru
```

mass density	7.93	g/cm3
total magnetic moment	0.00	μB per formula unit
E_tot	-6.8403	eV/atom

---

The following is a DFT calculation (PBE) of crystalline SrSc2CdS at its relaxed geometry.

Cell and atoms, written as POSCAR:
```
SrSc2CdS
1.0
5.3089 0.0000 0.0000
0.0000 5.3089 0.0000
0.0000 0.0000 5.8255
Sr Sc Cd S
1 2 1 1
Cartesian
0.0000 0.0000 0.0000 Sr
0.0000 2.6545 2.9127 Sc
2.6545 0.0000 2.9127 Sc
2.6545 2.6545 2.9127 Cd
2.6545 2.6545 0.0000 S
```

mass density	3.26	g/cm3
total magnetic moment	0.07	μB per formula unit
E_tot	-3.5020	eV/atom

---

The following is a DFT calculation (PBE) of crystalline Ba3Li3Tl2 at its relaxed geometry.

Cell and atoms, written as POSCAR:
```
Ba3Li3Tl2
1.0
2.6766 -6.2250 0.0000
2.6766 6.2250 0.0000
0.0000 0.0000 17.1631
Ba Li Tl
6 6 4
Cartesian
2.6766 5.0032 10.3726 Ba
2.6766 5.0032 15.3720 Ba
2.6766 1.3130 12.8723 Ba
2.6766 -1.3130 4.2908 Ba
2.6766 -5.0032 1.7911 Ba
2.6766 -5.0032 6.7905 Ba
2.6766 2.5412 4.2908 Li
2.6766 1.7258 9.1359 Li
2.6766 1.7258 16.6087 Li
2.6766 -1.7258 0.5543 Li
2.6766 -1.7258 8.0272 Li
2.6766 -2.5412 12.8723 Li
2.6766 3.8121 1.7054 Tl
2.6766 3.8121 6.8761 Tl
2.6766 -3.8121 10.2869 Tl
2.6766 -3.8121 15.4577 Tl
```

energy of formation from the pure elements	-159	kJ/mol of formula units
mass density	4.89	g/cm3
total magnetic moment	0.00	μB per formula unit
E above lowest polymorph	5	meV per atom

---

The following is a DFT calculation (PBE) of crystalline Y2BeW at its relaxed geometry.

Cell and atoms, written as POSCAR:
```
Y2BeW
1.0
-2.0693 2.0693 10.0248
2.0693 -2.0693 10.0248
2.0693 2.0693 -10.0248
Y Be W
4 2 2
Cartesian
3.1040 1.0319 -2.5062 Y
1.0319 1.0347 2.5062 Y
-1.0347 1.0374 7.5186 Y
1.0374 1.0347 12.5310 Y
2.0693 0.0000 5.0124 Be
0.0000 0.0000 10.0248 Be
0.0000 0.0000 0.0000 W
0.0000 2.0693 5.0124 W
```

energy of formation from the pure elements	455	kJ/mol of formula units
mass density	7.17	g/cm3
total magnetic moment	0.00	μB per formula unit

---

The following is a DFT calculation (PBE) of crystalline GaGeI at its relaxed geometry.

Cell and atoms, written as POSCAR:
```
GaGeI
1.0
4.0796 0.0000 0.0000
0.0004 4.3515 0.0000
1.7340 2.1003 11.6451
Ga Ge I
2 2 2
Cartesian
1.0182 2.1775 1.9412 Ga
4.7958 4.2743 9.7039 Ga
1.0200 4.3530 0.7310 Ge
4.7941 2.0988 10.9141 Ge
2.7545 4.2769 7.8431 I
3.0596 2.1749 3.8020 I
```

mass density	4.33	g/cm3
total magnetic moment	0.00	μB per formula unit
E above lowest polymorph	0	meV per atom

---

The following is a DFT calculation (PBE) of crystalline Pm4NdGa at its relaxed geometry.

Cell and atoms, written as POSCAR:
```
Pm4NdGa
1.0
3.7856 0.0000 0.0000
-1.8923 6.2288 0.0000
-0.0057 -3.3710 8.0517
Pm Nd Ga
4 1 1
Cartesian
0.0000 0.0000 0.0000 Pm
-0.0066 -1.1468 3.4840 Pm
1.8819 -0.4050 6.7865 Pm
1.8969 1.8174 2.2131 Pm
-0.0005 2.3354 5.1323 Nd
0.0002 4.0263 1.1112 Ga
```

energy of formation from the pure elements	-91	kJ/mol of formula units
mass density	6.94	g/cm3
total magnetic moment	0.00	μB per formula unit
E above lowest polymorph	7	meV per atom